# 1
CaPm2SmSb4 (PBE-GGA, optimized geometry); total magnetization = 0.0 μB/f.u.; electronic total energy = -41.24 eV per cell; symmetry = P2/m, No. 10; volume = 32.19 A^3/atom
1.0
4.4812 0.0000 0.0000
0.0000 7.7958 -0.1620
0.0000 2.7351 7.3152
Ca Pm Sm Sb
1 2 1 4
direct
0.5000 0.5000 0.0000
0.0000 0.0000 0.0000
0.5000 0.0000 0.5000
0.0000 0.5000 0.5000
0.0000 0.7518 0.7471
0.0000 0.2482 0.2529
0.5000 0.7498 0.2517
0.5000 0.2502 0.7483

# 2
CaTbPm2Sb4 (PBE-GGA, optimized geometry); total magnetization = 0.0 μB/f.u.; electronic total energy = -41.09 eV per cell; symmetry = P2/m, No. 10; volume = 31.79 A^3/atom
1.0
-3.0624 2.2238 -2.3598
-5.5554 -4.5406 2.9305
-2.7386 3.1918 6.5619
Ca Tb Pm Sb
1 1 2 4
direct
0.5000 0.5000 0.0000
0.0000 0.5000 0.5000
0.0000 0.0000 0.0000
0.5000 0.0000 0.5000
0.0000 0.7497 0.7460
0.0000 0.2503 0.2540
0.5000 0.7465 0.2545
0.5000 0.2535 0.7455

# 3
CaPmSbTe (PBE-GGA, optimized geometry); total magnetization = 0.0 μB/f.u.; electronic total energy = -19.39 eV per cell; symmetry = R3m, No. 160; volume = 32.81 A^3/atom
1.0
4.5223 0.0000 0.0000
2.2612 3.9164 0.0000
2.2612 1.3055 7.4091
Ca Pm Sb Te
1 1 1 1
direct
0.5032 0.5032 0.4904
0.9955 0.9955 0.0136
0.2516 0.2516 0.2453
0.7498 0.7498 0.7507

# 4
Ca2PmThSb4 (PBE-GGA, optimized geometry); total magnetization = 0.0 μB/f.u.; electronic total energy = -40.41 eV per cell; symmetry = P2/m, No. 10; volume = 32.86 A^3/atom
1.0
-2.1206 -3.6237 -1.7210
5.5530 -0.6175 -5.5421
2.0698 -4.1870 6.2656
Ca Pm Th Sb
2 1 1 4
direct
0.5000 0.0000 0.5000
0.0000 0.5000 0.5000
0.5000 0.5000 0.0000
0.0000 0.0000 0.0000
0.5000 0.2482 0.2451
0.5000 0.7518 0.7549
0.0000 0.2515 0.7552
0.0000 0.7485 0.2448